No. 1
Computed, not measured: SrP3H15N4O10 after structural relaxation at the PBE level of DFT.

Values from the calculation:
As for the total moment: 0.00 μB per formula unit. Its space group is P2_1/c. Its density of states at the Fermi level is 0.0 states/eV per cell. Its density is 2.1 g/cm3. The value obtained for the calculated volume is 1303.5 Å³ per cell.

CIF file:
```
data_SrP3H15N4O10
_chemical_formula_sum 'Sr4 P12 H60 N16 O40'
_cell_length_a 10.965
_cell_length_b 10.557
_cell_length_c 13.065
_cell_angle_alpha 90.00
_cell_angle_beta 120.47
_cell_angle_gamma 90.00
_space_group_name_H-M_alt 'P 1'
_space_group_IT_number 1
loop_
_space_group_symop_operation_xyz
'x,y,z'
loop_
_atom_site_label
_atom_site_fract_x
_atom_site_fract_y
_atom_site_fract_z
_atom_site_occupancy
Sr1 0.156 0.025 0.452 1
Sr2 0.156 0.475 0.952 1
Sr3 0.844 0.525 0.048 1
Sr4 0.844 0.975 0.548 1
P1 0.042 0.720 0.503 1
P2 0.042 0.780 0.003 1
P3 0.084 0.140 0.852 1
P4 0.084 0.360 0.352 1
P5 0.263 0.155 0.109 1
P6 0.263 0.345 0.609 1
P7 0.737 0.655 0.391 1
P8 0.737 0.845 0.891 1
P9 0.916 0.640 0.648 1
P10 0.916 0.860 0.148 1
P11 0.958 0.220 0.997 1
P12 0.958 0.280 0.497 1
H1 0.102 0.560 0.637 1
H2 0.102 0.940 0.137 1
H3 0.121 0.183 0.194 1
H4 0.121 0.317 0.694 1
H5 0.189 0.571 0.291 1
H6 0.189 0.929 0.791 1
H7 0.190 0.723 0.252 1
H8 0.190 0.777 0.752 1
H9 0.207 0.516 0.486 1
H10 0.207 0.984 0.986 1
H11 0.289 0.618 0.232 1
H12 0.289 0.882 0.732 1
H13 0.321 0.705 0.090 1
H14 0.321 0.795 0.590 1
H15 0.339 0.666 0.371 1
H16 0.339 0.834 0.871 1
H17 0.346 0.502 0.826 1
H18 0.346 0.998 0.326 1
H19 0.396 0.608 0.928 1
H20 0.396 0.892 0.428 1
H21 0.408 0.143 0.744 1
H22 0.408 0.357 0.244 1
H23 0.428 0.248 0.027 1
H24 0.428 0.252 0.527 1
H25 0.454 0.616 0.176 1
H26 0.454 0.884 0.676 1
H27 0.469 0.549 0.674 1
H28 0.469 0.951 0.174 1
H29 0.483 0.196 0.941 1
H30 0.483 0.304 0.441 1
H31 0.517 0.696 0.559 1
H32 0.517 0.804 0.059 1
H33 0.531 0.049 0.826 1
H34 0.531 0.451 0.326 1
H35 0.546 0.116 0.324 1
H36 0.546 0.384 0.824 1
H37 0.572 0.748 0.473 1
H38 0.572 0.752 0.973 1
H39 0.592 0.643 0.756 1
H40 0.592 0.857 0.256 1
H41 0.604 0.108 0.572 1
H42 0.604 0.392 0.072 1
H43 0.654 0.002 0.674 1
H44 0.654 0.498 0.174 1
H45 0.661 0.166 0.129 1
H46 0.661 0.334 0.629 1
H47 0.679 0.205 0.410 1
H48 0.679 0.295 0.910 1
H49 0.711 0.118 0.268 1
H50 0.711 0.382 0.768 1
H51 0.793 0.016 0.014 1
H52 0.793 0.484 0.514 1
H53 0.810 0.223 0.248 1
H54 0.810 0.277 0.748 1
H55 0.811 0.071 0.209 1
H56 0.811 0.429 0.709 1
H57 0.879 0.683 0.306 1
H58 0.879 0.817 0.806 1
H59 0.898 0.060 0.863 1
H60 0.898 0.440 0.363 1
N1 0.057 0.648 0.625 1
N2 0.057 0.852 0.125 1
N3 0.109 0.158 0.112 1
N4 0.109 0.342 0.612 1
N5 0.218 0.081 0.981 1
N6 0.218 0.419 0.481 1
N7 0.252 0.643 0.288 1
N8 0.252 0.857 0.788 1
N9 0.748 0.143 0.212 1
N10 0.748 0.357 0.712 1
N11 0.782 0.581 0.519 1
N12 0.782 0.919 0.019 1
N13 0.891 0.658 0.388 1
N14 0.891 0.842 0.888 1
N15 0.943 0.148 0.875 1
N16 0.943 0.352 0.375 1
O1 0.026 0.639 0.015 1
O2 0.026 0.861 0.515 1
O3 0.047 0.044 0.755 1
O4 0.047 0.456 0.255 1
O5 0.119 0.226 0.334 1
O6 0.119 0.274 0.834 1
O7 0.168 0.682 0.491 1
O8 0.168 0.818 0.991 1
O9 0.310 0.211 0.601 1
O10 0.310 0.289 0.101 1
O11 0.326 0.540 0.885 1
O12 0.326 0.960 0.385 1
O13 0.350 0.619 0.125 1
O14 0.350 0.881 0.625 1
O15 0.368 0.074 0.212 1
O16 0.368 0.426 0.712 1
O17 0.460 0.106 0.825 1
O18 0.460 0.394 0.325 1
O19 0.490 0.745 0.485 1
O20 0.490 0.755 0.985 1
O21 0.510 0.245 0.015 1
O22 0.510 0.255 0.515 1
O23 0.540 0.606 0.675 1
O24 0.540 0.894 0.175 1
O25 0.632 0.574 0.288 1
O26 0.632 0.926 0.788 1
O27 0.650 0.119 0.375 1
O28 0.650 0.381 0.875 1
O29 0.674 0.040 0.615 1
O30 0.674 0.460 0.115 1
O31 0.690 0.711 0.899 1
O32 0.690 0.789 0.399 1
O33 0.832 0.182 0.009 1
O34 0.832 0.318 0.509 1
O35 0.881 0.726 0.166 1
O36 0.881 0.774 0.666 1
O37 0.953 0.544 0.745 1
O38 0.953 0.956 0.245 1
O39 0.974 0.139 0.485 1
O40 0.974 0.361 0.985 1
```

***

No. 2
Computed, not measured: Ti2P3H7NO13 after structural relaxation at the PBE level of DFT.

Values from the calculation:
As for the total moment: 1.01 μB per formula unit. Its space group is P2_13. Its density of states at the Fermi level is 28.4 states/eV per cell. Its density is 2.7 g/cm3. The value obtained for the calculated volume is 1015.4 Å³ per cell.

CIF file:
```
data_Ti2P3H7NO13
_chemical_formula_sum 'Ti8 P12 H28 N4 O52'
_cell_length_a 10.051
_cell_length_b 10.051
_cell_length_c 10.051
_cell_angle_alpha 90.00
_cell_angle_beta 90.00
_cell_angle_gamma 90.00
_space_group_name_H-M_alt 'P 1'
_space_group_IT_number 1
loop_
_space_group_symop_operation_xyz
'x,y,z'
loop_
_atom_site_label
_atom_site_fract_x
_atom_site_fract_y
_atom_site_fract_z
_atom_site_occupancy
Ti1 0.089 0.089 0.089 1
Ti2 0.141 0.641 0.859 1
Ti3 0.359 0.359 0.359 1
Ti4 0.411 0.911 0.589 1
Ti5 0.589 0.411 0.911 1
Ti6 0.641 0.859 0.141 1
Ti7 0.859 0.141 0.641 1
Ti8 0.911 0.589 0.411 1
P1 0.040 0.271 0.375 1
P2 0.125 0.960 0.771 1
P3 0.229 0.625 0.540 1
P4 0.271 0.375 0.040 1
P5 0.375 0.040 0.271 1
P6 0.460 0.729 0.875 1
P7 0.540 0.229 0.625 1
P8 0.625 0.540 0.229 1
P9 0.729 0.875 0.460 1
P10 0.771 0.125 0.960 1
P11 0.875 0.460 0.729 1
P12 0.960 0.771 0.125 1
H1 0.017 0.983 0.483 1
H2 0.043 0.927 0.326 1
H3 0.073 0.826 0.457 1
H4 0.082 0.311 0.708 1
H5 0.174 0.957 0.427 1
H6 0.189 0.292 0.582 1
H7 0.208 0.418 0.689 1
H8 0.292 0.582 0.189 1
H9 0.311 0.708 0.082 1
H10 0.326 0.043 0.927 1
H11 0.418 0.689 0.208 1
H12 0.427 0.174 0.957 1
H13 0.457 0.073 0.826 1
H14 0.483 0.017 0.983 1
H15 0.517 0.517 0.517 1
H16 0.543 0.573 0.674 1
H17 0.573 0.674 0.543 1
H18 0.582 0.189 0.292 1
H19 0.674 0.543 0.573 1
H20 0.689 0.208 0.418 1
H21 0.708 0.082 0.311 1
H22 0.792 0.918 0.811 1
H23 0.811 0.792 0.918 1
H24 0.826 0.457 0.073 1
H25 0.918 0.811 0.792 1
H26 0.927 0.326 0.043 1
H27 0.957 0.427 0.174 1
H28 0.983 0.483 0.017 1
N1 0.076 0.924 0.424 1
N2 0.424 0.076 0.924 1
N3 0.576 0.576 0.576 1
N4 0.924 0.424 0.076 1
O1 0.005 0.916 0.149 1
O2 0.018 0.047 0.703 1
O3 0.028 0.191 0.246 1
O4 0.047 0.703 0.018 1
O5 0.074 0.813 0.769 1
O6 0.084 0.649 0.495 1
O7 0.149 0.005 0.916 1
O8 0.181 0.319 0.681 1
O9 0.187 0.269 0.426 1
O10 0.191 0.246 0.028 1
O11 0.203 0.482 0.953 1
O12 0.231 0.574 0.687 1
O13 0.246 0.028 0.191 1
O14 0.254 0.972 0.691 1
O15 0.269 0.426 0.187 1
O16 0.297 0.518 0.453 1
O17 0.309 0.754 0.528 1
O18 0.313 0.731 0.926 1
O19 0.319 0.681 0.181 1
O20 0.351 0.995 0.416 1
O21 0.416 0.351 0.995 1
O22 0.426 0.187 0.269 1
O23 0.453 0.297 0.518 1
O24 0.472 0.809 0.746 1
O25 0.482 0.953 0.203 1
O26 0.495 0.084 0.649 1
O27 0.505 0.584 0.851 1
O28 0.518 0.453 0.297 1
O29 0.528 0.309 0.754 1
O30 0.547 0.797 0.982 1
O31 0.574 0.687 0.231 1
O32 0.584 0.851 0.505 1
O33 0.649 0.495 0.084 1
O34 0.681 0.181 0.319 1
O35 0.687 0.231 0.574 1
O36 0.691 0.254 0.972 1
O37 0.703 0.018 0.047 1
O38 0.731 0.926 0.313 1
O39 0.746 0.472 0.809 1
O40 0.754 0.528 0.309 1
O41 0.769 0.074 0.813 1
O42 0.797 0.982 0.547 1
O43 0.809 0.746 0.472 1
O44 0.813 0.769 0.074 1
O45 0.819 0.819 0.819 1
O46 0.851 0.505 0.584 1
O47 0.916 0.149 0.005 1
O48 0.926 0.313 0.731 1
O49 0.953 0.203 0.482 1
O50 0.972 0.691 0.254 1
O51 0.982 0.547 0.797 1
O52 0.995 0.416 0.351 1
```

***

These records have calculated total energy values of -5.8176 -6.8013 eV/atom, in the order they appear.